Entry 1:
Entry from Alexandria via LeMat-Bulk: a relaxed structure of Na3U2TiN6 (PBE).

Cell: 5.7987 10.0548 5.9852 Å, 90.00 108.60 90.00°
With the nearest neighbours (Å) after each atom.
Space group C2/m (No. 12)
Asymmetric unit:
1 Na 0.0000 0.0000 0.0000 [2 per cell]  6 N 2.63-2.65
2 Na 0.0000 0.3408 0.0000 [4 per cell]  6 N 2.58-2.71
3 U 0.0000 0.1668 0.5000 [4 per cell]  6 N 2.21-2.22
4 Ti 0.0000 0.5000 0.5000 [2 per cell]  6 N 2.17
5 N 0.2250 0.3363 0.6847 [8 per cell]  1 Ti 2.17, 2 U 2.21-2.22
6 N 0.2335 0.0000 0.6850 [4 per cell]  1 Ti 2.17, 2 U 2.22

- E_tot (eV per atom) = -8.0594
- uncorrected formation energy (eV/atom) = -1.03
- total magnetic moment (μB/f.u.) = 1.0

---

Entry 2:
Entry from Alexandria via LeMat-Bulk: a relaxed structure of ThZn7Ag5 (PBE).

Cell: 5.4220 9.3762 9.1841 Å, 90.00 90.00 90.00°
With the nearest neighbours (Å) after each atom.
Space group Imm2 (No. 44)
Asymmetric unit:
1 Th 0.0000 0.0000 0.0000 [2 per cell]  10 Zn 3.21-3.37, 10 Ag 3.34-3.56
2 Zn 0.0000 0.0000 0.3608 [2 per cell]  1 Zn 2.66, 4 Ag 2.78
3 Zn 0.0000 0.0000 0.6503 [2 per cell]  1 Zn 2.66, 4 Ag 2.97
4 Zn 0.0000 0.2861 0.5055 [4 per cell]  5 Ag 2.68-2.83, 3 Zn 2.69-2.99
5 Zn 0.0000 0.3529 0.0135 [4 per cell]  3 Zn 2.76-3.01, 5 Ag 2.83-2.87
6 Zn 0.0000 0.5000 0.7004 [2 per cell]  4 Ag 2.67, 2 Zn 2.69
7 Ag 0.0000 0.5000 0.2879 [2 per cell]  4 Ag 2.82, 6 Zn 2.83-2.99
8 Ag 0.2486 0.2613 0.7593 [8 per cell]  7 Zn 2.67-2.97, 3 Ag 2.70-2.82

- energy of formation (eV/atom) = -0.055
- E_tot (eV per atom) = -2.4088
- total magnetic moment (μB/f.u.) = 0.0

---

Entry 3:
Entry from Alexandria via LeMat-Bulk: a relaxed structure of NpTlS2 (PBE).

Cell: 4.0507 4.0507 22.7912 Å, 90.00 90.00 120.00°
With the nearest neighbours (Å) after each atom.
Space group R3m (No. 160, hexagonal axes)
Asymmetric unit:
1 Np 0.0000 0.0000 0.0000 [3 per cell]  6 S 2.75
2 Tl 0.0000 0.0000 0.1721 [3 per cell]  6 S 3.23-3.41
3 S 0.0000 0.0000 0.3966 [3 per cell]  3 Np 2.75
4 S 0.0000 0.0000 0.6030 [3 per cell]  3 Np 2.75

- E_tot (eV per atom) = -6.9040
- uncorrected formation energy (eV/atom) = -1.01
- total magnetic moment (μB/f.u.) = 4.0

---

Entry 4:
Entry from Alexandria via LeMat-Bulk: a relaxed structure of ScPRu2 (PBE).

Cell: 3.0023 4.6559 8.5041 Å, 90.00 90.00 90.00°
With the nearest neighbours (Å) after each atom.
Space group Immm (No. 71)
Asymmetric unit:
1 Sc 0.0000 0.0000 0.0000 [2 per cell]  4 P 2.77, 8 Ru 2.86-2.95, 2 Sc 3.00
2 P 0.0000 0.0000 0.5000 [2 per cell]  4 Ru 2.35
3 Ru 0.0000 0.5000 0.2134 [4 per cell]  2 P 2.35

- energy of formation (eV/atom) = -0.480
- E_tot (eV per atom) = -8.0530
- total magnetic moment (μB/f.u.) = 0.0

---

Entry 5:
Entry from Alexandria via LeMat-Bulk: a relaxed structure of NaCa3Pt (PBE).

Cell: 7.3830 7.3830 22.8459 Å, 90.00 90.00 120.00°
With the nearest neighbours (Å) after each atom.
Space group R-3 (No. 148, hexagonal axes)
Asymmetric unit:
1 Na 0.0000 0.0000 0.1792 [6 per cell]  1 Pt 3.09, 3 Ca 3.44
2 Ca 0.0216 0.3090 0.6051 [18 per cell]  2 Pt 2.87-2.88
3 Pt 0.0000 0.0000 0.3144 [6 per cell]  6 Ca 2.87-2.88, 1 Na 3.09

- energy of formation (eV/atom) = -0.371
- E_tot (eV per atom) = -3.0438
- energy above the most stable polymorph in this dataset (meV/atom) = 97
- total magnetic moment (μB/f.u.) = 0.0

---

Entry 6:
Entry from Alexandria via LeMat-Bulk: a relaxed structure of Th8C3S3N (PBE).

Cell: 7.7734 7.7734 19.1245 Å, 90.00 90.00 120.00°
With the nearest neighbours (Å) after each atom.
Space group R-3m (No. 166, hexagonal axes)
Asymmetric unit:
1 Th 0.0000 0.0000 0.2392 [6 per cell]  3 C 2.64, 3 S 2.88
2 Th 0.0282 0.5141 0.7543 [18 per cell]  2 C 2.63, 1 N 2.65, 2 S 2.88
3 C 0.0000 0.5000 0.5000 [9 per cell]  6 Th 2.63-2.64
4 S 0.0000 0.5000 0.0000 [9 per cell]  6 Th 2.88
5 N 0.0000 0.0000 0.0000 [3 per cell]  6 Th 2.65

- E_tot (eV per atom) = -8.2800
- uncorrected formation energy (eV/atom) = -1.10
- total magnetic moment (μB/f.u.) = 0.0

---

Entry 7:
Entry from Alexandria via LeMat-Bulk: a relaxed structure of RbU2Te4 (PBE).

Cell: 4.4481 4.4481 47.8526 Å, 90.00 90.00 120.00°
With the nearest neighbours (Å) after each atom.
Space group R-3m (No. 166, hexagonal axes)
Asymmetric unit:
1 Rb 0.0000 0.0000 0.0000 [3 per cell]  6 Te 3.65
2 U 0.0000 0.0000 0.4254 [6 per cell]  6 Te 3.06-3.14
3 Te 0.0000 0.0000 0.1270 [6 per cell]  3 U 3.06
4 Te 0.0000 0.0000 0.2792 [6 per cell]  3 U 3.14

- E_tot (eV per atom) = -5.8932
- energy above the most stable polymorph in this dataset (meV/atom) = 0
- uncorrected formation energy (eV/atom) = -0.73
- total magnetic moment (μB/f.u.) = 5.0

---

Entry 8:
Entry from Alexandria via LeMat-Bulk: a relaxed structure of SbPt2Br (PBE).

Cell: 6.3908 3.6836 7.4584 Å, 90.00 106.68 90.00°
With the nearest neighbours (Å) after each atom.
Space group C2/m (No. 12)
Asymmetric unit:
1 Sb 0.0000 0.0000 0.0000 [2 per cell]  6 Pt 2.67
2 Pt 0.2424 0.5000 0.2256 [4 per cell]  3 Sb 2.67, 3 Br 2.89-2.90
3 Br 0.0000 0.5000 0.5000 [2 per cell]  6 Pt 2.89-2.90

- E_tot (eV per atom) = -4.5327
- energy above the most stable polymorph in this dataset (meV/atom) = 77
- uncorrected formation energy (eV/atom) = -0.06
- total magnetic moment (μB/f.u.) = 0.0